Entry 1:
VASP calculation (PBE) on crystalline BeNbCuAs at its relaxed geometry.

Lattice parameters (Å, degrees): 6.0723 6.0723 6.0723 90.00 90.00 90.00
Closest atoms and distances in Å follow each position.
Space group F-43m (No. 216)
Symmetry-distinct sites (fractional):
Be 0.0000 0.0000 0.0000  4 Nb 2.63, 4 Cu 2.63
Nb 0.2500 0.2500 0.2500  4 As 2.63, 4 Be 2.63
Cu 0.2500 0.2500 0.7500  4 As 2.63, 4 Be 2.63
As 0.0000 0.0000 0.5000  4 Cu 2.63, 4 Nb 2.63

Output
For the energy above the lowest structure with this stoichiometry, the calculation gives 0.0 meV per atom.

Entry 2:
VASP calculation (PBE) on crystalline Fe2Ge2Mo3 at its relaxed geometry.

Lattice parameters (Å, degrees): 4.2582 4.2582 18.4459 90.00 90.00 120.00
Closest atoms and distances in Å follow each position.
Space group R3m (No. 160, hexagonal axes)
Symmetry-distinct sites (fractional):
Fe 0.0000 0.0000 0.0000  2 Mo 2.50-2.65, 6 Ge 2.60-2.61
Fe 0.0000 0.0000 0.4264  4 Ge 2.56-2.60, 4 Mo 2.58-2.69
Ge 0.0000 0.0000 0.2878  4 Fe 2.56-2.60, 4 Mo 2.62-2.81
Ge 0.0000 0.0000 0.7146  6 Fe 2.60-2.61, 2 Mo 2.61-2.63
Mo 0.0000 0.0000 0.1354  4 Fe 2.50-2.58, 3 Mo 2.65
Mo 0.0000 0.0000 0.5722  4 Ge 2.62-2.63, 3 Mo 2.62, 1 Fe 2.69
Mo 0.0000 0.0000 0.8563  1 Ge 2.61, 6 Mo 2.62-2.65, 1 Fe 2.65

Summary of density in Mg/m³
7.13 9.37
(order as listed above)
Summary of E in eV/atom
-5.298 -8.279
(order as listed above)